First-principles (PBE) data for an optimized crystal structure of NdAg, as listed in the Alexandria database.

Density, g/cm3: 7.671
E_tot, eV/atom: -4.054
Density of states at the Fermi level, states/eV/atom: 0.89

Structure (CIF):
```
data_NdAg
_chemical_formula_sum 'Nd2 Ag2'
_space_group_name_H-M_alt 'P 1 21/m 1'
_space_group_IT_number 11
_space_group_name_Hall '-P 2yb'
_cell_length_a 3.919
_cell_length_b 4.919
_cell_length_c 5.914
_cell_angle_alpha 90.00
_cell_angle_beta 106.82
_cell_angle_gamma 90.00
loop_
_atom_site_label
_atom_site_type_symbol
_atom_site_fract_x
_atom_site_fract_y
_atom_site_fract_z
Nd1 Nd 0.132 0.250 0.284
Ag1 Ag 0.432 0.250 0.846
```



First-principles (PBE) data for an optimized crystal structure of Nd3Ag2, as listed in the Alexandria database.

Excess energy over the best structure of this formula in the dataset, eV/atom: 0.0000
Density, g/cm3: 7.616
Density of states at the Fermi level, states/eV/atom: 0.92

Structure (CIF):
```
data_Nd3Ag2
_chemical_formula_sum 'Nd6 Ag4'
_space_group_name_H-M_alt 'P 4/m m m'
_space_group_IT_number 123
_space_group_name_Hall '-P 4 2'
_cell_length_a 3.730
_cell_length_b 3.730
_cell_length_c 20.328
_cell_angle_alpha 90.00
_cell_angle_beta 90.00
_cell_angle_gamma 90.00
loop_
_atom_site_label
_atom_site_type_symbol
_atom_site_fract_x
_atom_site_fract_y
_atom_site_fract_z
Nd1 Nd 0.000 0.000 0.000
Nd2 Nd 0.000 0.000 0.188
Nd3 Nd 0.000 0.000 0.374
Nd4 Nd 0.500 0.500 0.500
Ag1 Ag 0.500 0.500 0.094
Ag2 Ag 0.500 0.500 0.281
```



First-principles (PBE) data for an optimized crystal structure of Nd8NiAg2, as listed in the Alexandria database.

Excess energy over the best structure of this formula in the dataset, eV/atom: 0.0000
Density, g/cm3: 7.288
Density of states at the Fermi level, states/eV/atom: 1.13

Structure (CIF):
```
data_Nd8NiAg2
_chemical_formula_sum 'Nd16 Ni2 Ag4'
_space_group_name_H-M_alt 'C 1 2/m 1'
_space_group_IT_number 12
_space_group_name_Hall '-C 2y'
_cell_length_a 18.055
_cell_length_b 5.264
_cell_length_c 7.008
_cell_angle_alpha 90.00
_cell_angle_beta 102.26
_cell_angle_gamma 90.00
loop_
_atom_site_label
_atom_site_type_symbol
_atom_site_fract_x
_atom_site_fract_y
_atom_site_fract_z
Nd1 Nd 0.024 0.000 0.281
Nd2 Nd 0.088 0.500 0.944
Nd3 Nd 0.155 0.500 0.471
Nd4 Nd 0.201 0.000 0.822
Ni1 Ni 0.000 0.500 0.500
Ag1 Ag 0.190 0.000 0.242
```



First-principles (PBE) data for an optimized crystal structure of NdNi2Ag, as listed in the Alexandria database.

Density, g/cm3: 8.118
E_tot, eV/atom: -4.928
Density of states at the Fermi level, states/eV/atom: 0.43

Structure (CIF):
```
data_NdNi2Ag
_chemical_formula_sum 'Nd3 Ni6 Ag3'
_space_group_name_H-M_alt 'R -3 m'
_space_group_IT_number 166
_space_group_name_Hall '-R 3 2"'
_cell_length_a 4.3739
_cell_length_b 4.3739
_cell_length_c 13.6846
_cell_angle_alpha 90.00
_cell_angle_beta 90.00
_cell_angle_gamma 120.00
loop_
_atom_site_label
_atom_site_type_symbol
_atom_site_fract_x
_atom_site_fract_y
_atom_site_fract_z
Nd1 Nd 0.0000 0.0000 0.0000
Ni1 Ni 0.0000 0.0000 0.1990
Ag1 Ag 0.0000 0.0000 0.5000
```



First-principles (PBE) data for an optimized crystal structure of Nd6NiAg2, as listed in the Alexandria database.

Excess energy over the best structure of this formula in the dataset, eV/atom: 0.0128
Density, g/cm3: 7.333
Density of states at the Fermi level, states/eV/atom: 1.12

Structure (CIF):
```
data_Nd6NiAg2
_chemical_formula_sum 'Nd24 Ni4 Ag8'
_space_group_name_H-M_alt 'I m m m'
_space_group_IT_number 71
_space_group_name_Hall '-I 2 2'
_cell_length_a 9.895
_cell_length_b 10.033
_cell_length_c 10.401
_cell_angle_alpha 90.00
_cell_angle_beta 90.00
_cell_angle_gamma 90.00
loop_
_atom_site_label
_atom_site_type_symbol
_atom_site_fract_x
_atom_site_fract_y
_atom_site_fract_z
Nd1 Nd 0.000 0.167 0.247
Nd2 Nd 0.168 0.500 0.276
Nd3 Nd 0.234 0.317 0.000
Ni1 Ni 0.000 0.000 0.500
Ni2 Ni 0.000 0.500 0.000
Ag1 Ag 0.000 0.354 0.500
Ag2 Ag 0.137 0.000 0.000
```



First-principles (PBE) data for an optimized crystal structure of Nd3Ni7Ag2, as listed in the Alexandria database.

Density, g/cm3: 8.854
E_tot, eV/atom: -5.279
Density of states at the Fermi level, states/eV/atom: 0.75

Structure (CIF):
```
data_Nd3Ni7Ag2
_chemical_formula_sum 'Nd9 Ni21 Ag6'
_space_group_name_H-M_alt 'R -3 m'
_space_group_IT_number 166
_space_group_name_Hall '-R 3 2"'
_cell_length_a 5.2052
_cell_length_b 5.2052
_cell_length_c 25.4009
_cell_angle_alpha 90.00
_cell_angle_beta 90.00
_cell_angle_gamma 120.00
loop_
_atom_site_label
_atom_site_type_symbol
_atom_site_fract_x
_atom_site_fract_y
_atom_site_fract_z
Nd1 Nd 0.0000 0.0000 0.0000
Nd2 Nd 0.0000 0.0000 0.1390
Ni1 Ni 0.0000 0.0000 0.5000
Ni2 Ni 0.9998 0.4999 0.0873
Ag1 Ag 0.0000 0.0000 0.3333
```